Record 1
Entry from the Alexandria database: NaCr2Rh after structural relaxation (PBE).

a b c (Å): 7.048 7.048 5.608
angles (deg): 51.06 51.06 90.00
Positions (direct):
Rh 0.000 0.000 0.000
Cr 0.079 0.625 0.250
Cr 0.875 0.921 0.750
Cr 0.375 0.329 0.750
Cr 0.671 0.125 0.250
Rh 0.750 0.250 0.500
Na 0.250 0.750 0.500
Na 0.500 0.500 0.000

Output
As for the final energy: -46.96 eV for the cell shown. The energy relative to the lowest polymorph listed for this composition is 387.2 meV per atom. The formation energy is 4.4 eV/f.u. The space group is I-42d, No. 122.

Record 2
Entry from the Alexandria database: BaHg2I2 after structural relaxation (PBE).

a b c (Å): 4.359 4.359 11.525
angles (deg): 79.10 79.10 90.00
Positions (direct):
I 0.412 0.412 0.175
Hg 0.250 0.750 0.500
I 0.588 0.588 0.825
Hg 0.750 0.250 0.500
Ba 0.000 0.000 0.000

Output
As for the final energy: -10.42 eV for the cell shown. The energy relative to the lowest polymorph listed for this composition is 0.0 meV per atom. The space group is I4/mmm, No. 139.